No. 1
Computed, not measured: NaMn3N3 after structural relaxation at the PBE-GGA level of DFT.

abc: 7.4825 7.4825 3.1538
angles: 90.00 90.00 120.00
Last column: nearest neighbours and their distance in Å.
Positions (direct):
Na 0.3333 0.6667 0.2500  6 N 2.35
Na 0.6667 0.3333 0.7500  6 N 2.35
Mn 0.0457 0.6810 0.7500  3 N 1.87-1.89
Mn 0.3190 0.3648 0.7500  3 N 1.87-1.89
Mn 0.3648 0.0457 0.2500  3 N 1.87-1.89
Mn 0.6352 0.9543 0.7500  3 N 1.87-1.89
Mn 0.6810 0.6352 0.2500  3 N 1.87-1.89
Mn 0.9543 0.3190 0.2500  3 N 1.87-1.89
N 0.1042 0.4287 0.7500  3 Mn 1.87-1.89
N 0.3246 0.8958 0.7500  3 Mn 1.87-1.89
N 0.4287 0.3246 0.2500  3 Mn 1.87-1.89
N 0.5713 0.6754 0.7500  3 Mn 1.87-1.89
N 0.6754 0.1042 0.2500  3 Mn 1.87-1.89
N 0.8958 0.5713 0.2500  3 Mn 1.87-1.89

Summary:
Raw formation energy (meV per atom): 16
Crystal system: hexagonal
Symmetry: P6_3/m

=====

No. 2
Computed, not measured: PaReAu after structural relaxation at the PBE-GGA level of DFT.

abc: 3.0825 3.0825 12.3660
angles: 90.00 90.00 90.00
Last column: nearest neighbours and their distance in Å.
Positions (direct):
Pa 0.2500 0.2500 0.2346  4 Re 3.07, 4 Pa 3.08, 4 Au 3.14
Pa 0.7500 0.7500 0.7654  4 Re 3.07, 4 Pa 3.08, 4 Au 3.14
Re 0.2500 0.2500 0.9398  4 Re 2.64
Re 0.7500 0.7500 0.0602  4 Re 2.64
Au 0.2500 0.2500 0.5828  8 Au 2.99-3.08, 4 Pa 3.14
Au 0.7500 0.7500 0.4172  8 Au 2.99-3.08, 4 Pa 3.14

Summary:
Crystal system: tetragonal
Formation energy from the elements (kJ/mol of formula units): -57
Symmetry: P4/nmm

=====

No. 3
Computed, not measured: CsCdF2 after structural relaxation at the PBE-GGA level of DFT.

abc: 4.9519 4.9519 4.9519
angles: 60.00 60.00 60.00
Last column: nearest neighbours and their distance in Å.
Positions (direct):
Cs 0.0000 0.0000 0.0000  8 F 3.03
Cd 0.5000 0.5000 0.5000  8 F 3.03
F 0.2500 0.2500 0.2500  4 Cd 3.03, 4 Cs 3.03
F 0.7500 0.7500 0.7500  4 Cd 3.03, 4 Cs 3.03

Summary:
Relative energy among the computed polymorphs (kcal/mol of atoms): 6.78
Raw formation energy (meV per atom): -1625
Crystal system: cubic
Symmetry: Fm-3m

=====

No. 4
Computed, not measured: Sm6MgZn5 after structural relaxation at the PBE-GGA level of DFT.

abc: 8.2107 8.2107 7.3629
angles: 90.00 90.00 143.27
Last column: nearest neighbours and their distance in Å.
Positions (direct):
Sm 0.0000 0.0000 0.2392  6 Zn 3.12-3.13, 2 Mg 3.22
Sm 0.0000 0.0000 0.7608  6 Zn 3.12-3.13, 2 Mg 3.22
Sm 0.3292 0.6708 0.2464  7 Zn 3.14-3.25, 1 Mg 3.25
Sm 0.3292 0.6708 0.7536  7 Zn 3.14-3.25, 1 Mg 3.25
Sm 0.6708 0.3292 0.2464  7 Zn 3.14-3.25, 1 Mg 3.25
Sm 0.6708 0.3292 0.7536  7 Zn 3.14-3.25, 1 Mg 3.25
Mg 0.5000 0.5000 0.5000  8 Sm 3.22-3.25, 4 Zn 3.57
Zn 0.1582 0.8418 0.5000  8 Sm 3.13-3.25
Zn 0.1650 0.8350 0.0000  8 Sm 3.12-3.16
Zn 0.5000 0.5000 0.0000  8 Sm 3.13-3.22
Zn 0.8350 0.1650 0.0000  8 Sm 3.12-3.16
Zn 0.8418 0.1582 0.5000  8 Sm 3.13-3.25

Summary:
Crystal system: orthorhombic
Formation energy from the elements (kJ/mol of formula units): -319
Symmetry: Cmmm

=====

No. 5
Computed, not measured: Na2CaAl2 after structural relaxation at the PBE-GGA level of DFT.

abc: 8.5562 8.5562 3.7633
angles: 90.00 90.00 90.00
Last column: nearest neighbours and their distance in Å.
Positions (direct):
Na 0.1801 0.3199 0.0000  6 Al 3.15-3.18
Na 0.3199 0.8199 0.0000  6 Al 3.15-3.18
Na 0.6801 0.1801 0.0000  6 Al 3.15-3.18
Na 0.8199 0.6801 0.0000  6 Al 3.15-3.18
Ca 0.0000 0.0000 0.5000  4 Al 3.46, 8 Na 3.66, 2 Ca 3.76
Ca 0.5000 0.5000 0.5000  4 Al 3.46, 8 Na 3.66, 2 Ca 3.76
Al 0.1116 0.6116 0.5000  1 Al 2.70
Al 0.3884 0.1116 0.5000  1 Al 2.70
Al 0.6116 0.8884 0.5000  1 Al 2.70
Al 0.8884 0.3884 0.5000  1 Al 2.70

Summary:
Relative energy among the computed polymorphs (kcal/mol of atoms): 1.56
Crystal system: tetragonal
Formation energy from the elements (kJ/mol of formula units): 83
Symmetry: P4/mbm

=====

No. 6
Computed, not measured: KNpTl2F8 after structural relaxation at the PBE-GGA level of DFT.

abc: 7.4104 7.4104 7.4104
angles: 130.66 130.66 72.35
Last column: nearest neighbours and their distance in Å.
Positions (direct):
K 0.0000 0.0000 0.0000  8 F 2.79
Np 0.7500 0.2500 0.5000  8 F 2.21
Tl 0.2500 0.7500 0.5000  8 F 2.87
Tl 0.5000 0.5000 0.0000  8 F 2.81
F 0.0619 0.1490 0.4966  1 Np 2.21
F 0.0619 0.5653 0.9129  1 Np 2.21
F 0.4347 0.3476 0.4966  1 Np 2.21
F 0.4347 0.9381 0.0871  1 Np 2.21
F 0.6524 0.1490 0.0871  1 Np 2.21
F 0.6524 0.5653 0.5034  1 Np 2.21
F 0.8510 0.3476 0.9129  1 Np 2.21
F 0.8510 0.9381 0.5034  1 Np 2.21

Summary:
Raw formation energy (meV per atom): -2761
Crystal system: tetragonal
Symmetry: I-4m2

=====

Number 1: D(E_F) 9.2 states/eV/cell, magnetization 7.875 μB per cell. Number 2: D(E_F) 6.0 states/eV/cell, magnetization 0.000 μB per cell. Number 3: D(E_F) 2.6 states/eV/cell, magnetization 0.810 μB per cell. Number 4: D(E_F) 13.6 states/eV/cell, magnetization 0.002 μB per cell. Number 5: D(E_F) 4.0 states/eV/cell, magnetization 0.000 μB per cell. Number 6: D(E_F) 10.6 states/eV/cell, magnetization 2.000 μB per cell.